DFT (PBE-GGA) results for a relaxed ZnIr crystal.

The structure belongs to space group Pmm2 (No. 25); the cell edges are 4.501, 5.413 and 4.703 Å and the angles 90.00°, 90.00° and 90.00°. Symmetry generates all atoms from Zn at (0.000, 0.000, 0.000), Zn at (0.000, 0.258, 0.488), Zn at (0.500, 0.000, 0.662), Ir at (0.000, 0.500, 0.985), Ir at (0.500, 0.253, 0.164) and Ir at (0.500, 0.500, 0.674).

Its volume is 29 Å³/f.u. For the formation enthalpy at 0 K, the calculation gives -0.09 eV/atom.

DFT (PBE-GGA) results for a relaxed ZnIr crystal.

The structure belongs to space group Pmmn (No. 59, origin choice 2); the cell edges are 4.558, 10.802 and 4.677 Å and the angles 90.00°, 90.00° and 90.00°. Symmetry generates all atoms from Zn at (0.250, 0.120, 0.149), Zn at (0.250, 0.250, 0.664), Zn at (0.250, 0.750, 0.661), Ir at (0.250, 0.006, 0.641) and Ir at (0.250, 0.628, 0.157).

Its volume is 29 Å³/f.u. For the formation enthalpy at 0 K, the calculation gives -0.04 eV/atom.

DFT (PBE-GGA) results for a relaxed ZnIr crystal.

The structure belongs to space group Pbcm (No. 57); the cell edges are 5.339, 4.749 and 4.499 Å and the angles 90.00°, 90.00° and 90.00°. Symmetry generates all atoms from Zn at (0.124, 0.077, 0.250) and Ir at (0.374, 0.582, 0.250).

Its volume is 29 Å³/f.u. For the formation enthalpy at 0 K, the calculation gives -0.08 eV/atom.

DFT (PBE-GGA) results for a relaxed ZnIr crystal.

The structure belongs to space group P2_1/m (No. 11); the cell edges are 5.544, 4.466 and 7.054 Å and the angles 90.00°, 100.50° and 90.00°. Symmetry generates all atoms from Zn at (0.134, 0.250, 0.058), Zn at (0.299, 0.250, 0.712), Zn at (0.353, 0.750, 0.940), Ir at (0.028, 0.750, 0.613), Ir at (0.197, 0.750, 0.269) and Ir at (0.477, 0.250, 0.380).

Its volume is 29 Å³/f.u. For the formation enthalpy at 0 K, the calculation gives -0.07 eV/atom.

DFT (PBE-GGA) results for a relaxed ZnIr crystal.

The structure belongs to space group P-6m2 (No. 187); the cell edges are 2.7873, 2.7873 and 4.2148 Å and the angles 90.00°, 90.00° and 120.00°. Symmetry generates all atoms from Zn at (0.0000, 0.0000, 0.0000) and Ir at (0.3333, 0.6667, 0.5000).

Its volume is 28 Å³/f.u. For the formation enthalpy at 0 K, the calculation gives -0.18 eV/atom.

DFT (PBE-GGA) results for a relaxed ZnIr crystal.

The structure belongs to space group Pmc2_1 (No. 26); the cell edges are 4.360, 8.770 and 4.469 Å and the angles 90.00°, 90.00° and 90.00°. Symmetry generates all atoms from Zn at (0.000, 0.080, 0.000), Zn at (0.500, 0.081, 0.471), Zn at (0.500, 0.411, 0.463), Ir at (0.000, 0.244, 0.500), Ir at (0.000, 0.427, 0.999) and Ir at (0.500, 0.245, 0.971).

Its volume is 28 Å³/f.u. For the formation enthalpy at 0 K, the calculation gives -0.04 eV/atom.